[1]
A geometry-optimized Pm4NiAg2 structure. Source: Alexandria via LeMat-Bulk, functional PBE.

Computed properties:
- formation energy (eV/atom) = -0.0413
- E above lowest polymorph (kJ per mole of atoms) = 13.60
- VASP energy (eV per cell) = -30.8
- size of the total moment (μB/f.u.) = 0.6

Unit cell a=8.395 b=8.395 c=8.395 alpha=143.45 beta=143.45 gamma=52.64
Positions (direct):
Pm 0.000 0.500 0.500
Pm 0.186 0.186 0.000
Pm 0.500 0.000 0.500
Pm 0.814 0.814 0.000
Ni 0.000 0.000 0.000
Ag 0.382 0.382 0.000
Ag 0.618 0.618 0.000

---

[2]
A geometry-optimized TaTcIr2 structure. Source: Alexandria via LeMat-Bulk, functional PBE.

Computed properties:
- formation energy (eV/atom) = -0.3875
- E above lowest polymorph (kJ per mole of atoms) = 11.74
- VASP energy (eV per cell) = -41.5
- size of the total moment (μB/f.u.) = 0.0

Unit cell a=2.783 b=2.783 c=7.872 alpha=90.00 beta=90.00 gamma=90.00
Positions (direct):
Ta 0.000 0.000 0.000
Tc 0.000 0.000 0.500
Ir 0.500 0.500 0.261
Ir 0.500 0.500 0.739

---

The lowest formation energy belongs to which entry? TaTcIr2

---

What is the E above lowest polymorph in the first record? 13.60 kJ per mole of atoms